Record 1
DFT (GGA-PBE) results for a geometry-optimized Cs14Pr2Te9 structure.

Computed properties:
crystal system: trigonal
V: 60.84 Å³/atom
M_tot: 1.431 μB per cell
symmetry: P-3 (147)
formation energy (no corrections): -1.0445 eV/atom

The structure in CIF format:
```
data_Cs14Pr2Te9
_symmetry_space_group_name_H-M 'P 1'
_symmetry_Int_Tables_number 1
_symmetry_space_group_name_Hall 'P 1'
_cell_length_a 10.813
_cell_length_b 10.813
_cell_length_c 15.020
_cell_angle_alpha 90.00
_cell_angle_beta 90.00
_cell_angle_gamma 120.00
loop_
_atom_site_label
_atom_site_fract_x
_atom_site_fract_y
_atom_site_fract_z
_atom_site_occupancy
Cs1 0.000 0.000 0.248 1
Cs2 0.000 0.000 0.752 1
Cs3 0.049 0.680 0.406 1
Cs4 0.095 0.402 0.100 1
Cs5 0.307 0.905 0.100 1
Cs6 0.320 0.369 0.406 1
Cs7 0.369 0.049 0.594 1
Cs8 0.402 0.307 0.900 1
Cs9 0.598 0.693 0.100 1
Cs10 0.631 0.951 0.406 1
Cs11 0.680 0.631 0.594 1
Cs12 0.693 0.095 0.900 1
Cs13 0.905 0.598 0.900 1
Cs14 0.951 0.320 0.594 1
Pr1 0.333 0.667 0.771 1
Pr2 0.667 0.333 0.229 1
Te1 0.000 0.000 0.500 1
Te2 0.094 0.376 0.841 1
Te3 0.283 0.906 0.841 1
Te4 0.333 0.667 0.567 1
Te5 0.376 0.283 0.159 1
Te6 0.624 0.717 0.841 1
Te7 0.667 0.333 0.433 1
Te8 0.717 0.094 0.159 1
Te9 0.906 0.624 0.159 1
```

Record 2
DFT (GGA-PBE) results for a geometry-optimized Cs5PrTe4 structure.

Computed properties:
crystal system: monoclinic
V: 53.26 Å³/atom
M_tot: 0.000 μB per cell
symmetry: C2/m (12)
formation energy (no corrections): -1.0597 eV/atom

The structure in CIF format:
```
data_Cs5PrTe4
_symmetry_space_group_name_H-M 'P 1'
_symmetry_Int_Tables_number 1
_symmetry_space_group_name_Hall 'P 1'
_cell_length_a 11.804
_cell_length_b 11.804
_cell_length_c 9.753
_cell_angle_alpha 114.36
_cell_angle_beta 114.36
_cell_angle_gamma 25.63
loop_
_atom_site_label
_atom_site_fract_x
_atom_site_fract_y
_atom_site_fract_z
_atom_site_occupancy
Cs1 0.000 0.000 0.000 1
Cs2 0.328 0.328 0.072 1
Cs3 0.329 0.329 0.588 1
Cs4 0.671 0.671 0.412 1
Cs5 0.672 0.672 0.928 1
Pr1 0.000 0.000 0.500 1
Te1 0.161 0.161 0.659 1
Te2 0.500 0.500 0.284 1
Te3 0.500 0.500 0.716 1
Te4 0.839 0.839 0.341 1
```

Record 3
DFT (GGA-PBE) results for a geometry-optimized Cs2PrTe6 structure.

Computed properties:
crystal system: monoclinic
V: 45.92 Å³/atom
M_tot: 0.000 μB per cell
symmetry: C2/m (12)
formation energy (no corrections): -0.7314 eV/atom

The structure in CIF format:
```
data_Cs2PrTe6
_symmetry_space_group_name_H-M 'P 1'
_symmetry_Int_Tables_number 1
_symmetry_space_group_name_Hall 'P 1'
_cell_length_a 9.724
_cell_length_b 9.724
_cell_length_c 5.261
_cell_angle_alpha 101.58
_cell_angle_beta 101.58
_cell_angle_gamma 58.62
loop_
_atom_site_label
_atom_site_fract_x
_atom_site_fract_y
_atom_site_fract_z
_atom_site_occupancy
Cs1 0.172 0.172 0.423 1
Cs2 0.828 0.828 0.577 1
Pr1 0.500 0.500 0.000 1
Te1 0.171 0.508 0.109 1
Te2 0.294 0.706 0.500 1
Te3 0.492 0.829 0.891 1
Te4 0.508 0.171 0.109 1
Te5 0.706 0.294 0.500 1
Te6 0.829 0.492 0.891 1
```

Record 4
DFT (GGA-PBE) results for a geometry-optimized CsPr2Te4 structure.

Computed properties:
crystal system: trigonal
V: 42.27 Å³/atom
M_tot: 0.000 μB per cell
symmetry: R-3m (166)
formation energy (no corrections): -1.1792 eV/atom

The structure in CIF format:
```
data_CsPr2Te4
_symmetry_space_group_name_H-M 'P 1'
_symmetry_Int_Tables_number 1
_symmetry_space_group_name_Hall 'P 1'
_cell_length_a 15.938
_cell_length_b 15.938
_cell_length_c 15.938
_cell_angle_alpha 16.83
_cell_angle_beta 16.83
_cell_angle_gamma 16.83
loop_
_atom_site_label
_atom_site_fract_x
_atom_site_fract_y
_atom_site_fract_z
_atom_site_occupancy
Cs1 0.000 0.000 0.000 1
Pr1 0.098 0.098 0.098 1
Pr2 0.902 0.902 0.902 1
Te1 0.200 0.200 0.200 1
Te2 0.393 0.393 0.393 1
Te3 0.607 0.607 0.607 1
Te4 0.800 0.800 0.800 1
```

Record 5
DFT (GGA-PBE) results for a geometry-optimized CsPrTe structure.

Computed properties:
crystal system: monoclinic
V: 42.98 Å³/atom
M_tot: 0.000 μB per cell
symmetry: C2/m (12)
formation energy (no corrections): -0.8878 eV/atom

The structure in CIF format:
```
data_CsPrTe
_symmetry_space_group_name_H-M 'P 1'
_symmetry_Int_Tables_number 1
_symmetry_space_group_name_Hall 'P 1'
_cell_length_a 7.073
_cell_length_b 7.073
_cell_length_c 10.897
_cell_angle_alpha 90.00
_cell_angle_beta 108.90
_cell_angle_gamma 90.00
loop_
_atom_site_label
_atom_site_fract_x
_atom_site_fract_y
_atom_site_fract_z
_atom_site_occupancy
Cs1 0.180 0.000 0.361 1
Cs2 0.320 0.500 0.639 1
Cs3 0.680 0.500 0.361 1
Cs4 0.820 0.000 0.639 1
Pr1 0.250 0.250 0.000 1
Pr2 0.250 0.750 0.000 1
Pr3 0.750 0.250 0.000 1
Pr4 0.750 0.750 0.000 1
Te1 0.108 0.500 0.217 1
Te2 0.392 0.000 0.783 1
Te3 0.608 0.000 0.217 1
Te4 0.892 0.500 0.783 1
```

Record 6
DFT (GGA-PBE) results for a geometry-optimized CsPr6Te8 structure.

Computed properties:
crystal system: trigonal
V: 39.95 Å³/atom
M_tot: 1.474 μB per cell
symmetry: P-3 (147)
formation energy (no corrections): -1.3969 eV/atom

The structure in CIF format:
```
data_CsPr6Te8
_symmetry_space_group_name_H-M 'P 1'
_symmetry_Int_Tables_number 1
_symmetry_space_group_name_Hall 'P 1'
_cell_length_a 12.257
_cell_length_b 12.257
_cell_length_c 4.606
_cell_angle_alpha 90.00
_cell_angle_beta 90.00
_cell_angle_gamma 120.00
loop_
_atom_site_label
_atom_site_fract_x
_atom_site_fract_y
_atom_site_fract_z
_atom_site_occupancy
Cs1 0.000 0.000 0.000 1
Pr1 0.137 0.653 0.750 1
Pr2 0.347 0.484 0.750 1
Pr3 0.484 0.137 0.250 1
Pr4 0.516 0.863 0.750 1
Pr5 0.653 0.516 0.250 1
Pr6 0.863 0.347 0.250 1
Te1 0.047 0.355 0.750 1
Te2 0.308 0.953 0.750 1
Te3 0.333 0.667 0.250 1
Te4 0.355 0.308 0.250 1
Te5 0.645 0.692 0.750 1
Te6 0.667 0.333 0.750 1
Te7 0.692 0.047 0.250 1
Te8 0.953 0.645 0.250 1
```

Record 7
DFT (GGA-PBE) results for a geometry-optimized Cs4Pr3ThTe8 structure.

Computed properties:
crystal system: trigonal
V: 42.34 Å³/atom
M_tot: 0.000 μB per cell
symmetry: R-3m (166)
formation energy (no corrections): -1.3599 eV/atom

The structure in CIF format:
```
data_Cs4Pr3ThTe8
_symmetry_space_group_name_H-M 'P 1'
_symmetry_Int_Tables_number 1
_symmetry_space_group_name_Hall 'P 1'
_cell_length_a 10.487
_cell_length_b 10.487
_cell_length_c 10.487
_cell_angle_alpha 52.78
_cell_angle_beta 52.78
_cell_angle_gamma 52.78
loop_
_atom_site_label
_atom_site_fract_x
_atom_site_fract_y
_atom_site_fract_z
_atom_site_occupancy
Cs1 0.000 0.000 0.000 1
Cs2 0.000 0.500 0.500 1
Cs3 0.500 0.000 0.500 1
Cs4 0.500 0.500 0.000 1
Pr1 0.000 0.000 0.500 1
Pr2 0.000 0.500 0.000 1
Pr3 0.500 0.000 0.000 1
Th1 0.500 0.500 0.500 1
Te1 0.233 0.233 0.233 1
Te2 0.239 0.729 0.729 1
Te3 0.271 0.271 0.761 1
Te4 0.271 0.761 0.271 1
Te5 0.729 0.239 0.729 1
Te6 0.729 0.729 0.239 1
Te7 0.761 0.271 0.271 1
Te8 0.767 0.767 0.767 1
```

Record 8
DFT (GGA-PBE) results for a geometry-optimized Cs3PrTh3Te8 structure.

Computed properties:
crystal system: trigonal
V: 43.67 Å³/atom
M_tot: 0.001 μB per cell
symmetry: R-3m (166)
formation energy (no corrections): -1.2560 eV/atom

The structure in CIF format:
```
data_Cs3PrTh3Te8
_symmetry_space_group_name_H-M 'P 1'
_symmetry_Int_Tables_number 1
_symmetry_space_group_name_Hall 'P 1'
_cell_length_a 10.602
_cell_length_b 10.602
_cell_length_c 10.602
_cell_angle_alpha 50.57
_cell_angle_beta 50.57
_cell_angle_gamma 50.57
loop_
_atom_site_label
_atom_site_fract_x
_atom_site_fract_y
_atom_site_fract_z
_atom_site_occupancy
Cs1 0.000 0.500 0.500 1
Cs2 0.500 0.000 0.500 1
Cs3 0.500 0.500 0.000 1
Pr1 0.500 0.500 0.500 1
Th1 0.000 0.000 0.500 1
Th2 0.000 0.500 0.000 1
Th3 0.500 0.000 0.000 1
Te1 0.225 0.737 0.737 1
Te2 0.233 0.233 0.233 1
Te3 0.263 0.263 0.775 1
Te4 0.263 0.775 0.263 1
Te5 0.737 0.225 0.737 1
Te6 0.737 0.737 0.225 1
Te7 0.767 0.767 0.767 1
Te8 0.775 0.263 0.263 1
```

Record 9
DFT (GGA-PBE) results for a geometry-optimized Cs3Pr3ThTe8 structure.

Computed properties:
crystal system: trigonal
V: 45.42 Å³/atom
M_tot: 0.000 μB per cell
symmetry: R-3m (166)
formation energy (no corrections): -1.3871 eV/atom

The structure in CIF format:
```
data_Cs3Pr3ThTe8
_symmetry_space_group_name_H-M 'P 1'
_symmetry_Int_Tables_number 1
_symmetry_space_group_name_Hall 'P 1'
_cell_length_a 10.588
_cell_length_b 10.588
_cell_length_c 10.588
_cell_angle_alpha 51.99
_cell_angle_beta 51.99
_cell_angle_gamma 51.99
loop_
_atom_site_label
_atom_site_fract_x
_atom_site_fract_y
_atom_site_fract_z
_atom_site_occupancy
Cs1 0.000 0.500 0.500 1
Cs2 0.500 0.000 0.500 1
Cs3 0.500 0.500 0.000 1
Pr1 0.000 0.000 0.500 1
Pr2 0.000 0.500 0.000 1
Pr3 0.500 0.000 0.000 1
Th1 0.500 0.500 0.500 1
Te1 0.232 0.232 0.232 1
Te2 0.236 0.728 0.728 1
Te3 0.272 0.272 0.764 1
Te4 0.272 0.764 0.272 1
Te5 0.728 0.236 0.728 1
Te6 0.728 0.728 0.236 1
Te7 0.764 0.272 0.272 1
Te8 0.768 0.768 0.768 1
```

- Among the records above, which one has the lowest formation energy (no corrections)?
  CsPr6Te8

- Look up the formation energy (no corrections) of the sixth one.
  -1.3969 eV/atom

- Look up the formation energy (no corrections) of the ninth one.
  -1.3871 eV/atom

- Number 4 is which compound?
  CsPr2Te4